NdTm2Sc | GGA-PBE | optimized geometry

Results
- symmetry = R-3m, No. 166

Cell lengths 3.4937, 3.4937, 11.4601 Å; angles 81.23, 81.23, 60.00 degrees
Positions (direct):
Tm (0.7459, 0.7459, 0.7624)
Nd (0.5000, 0.5000, 0.5000)
Sc (0.0000, 0.0000, 0.0000)
Tm (0.2541, 0.2541, 0.2376)

---

Nd5Tm6Sc | GGA-PBE | optimized geometry

Results
- symmetry = Immm, No. 71

Cell lengths 5.0404, 9.9729, 9.4025 Å; angles 122.03, 105.57, 89.97 degrees
Positions (direct):
Nd (0.6626, 0.1625, 0.3250)
Nd (0.3374, 0.8375, 0.6750)
Tm (0.1652, 0.9178, 0.3305)
Tm (0.8348, 0.5874, 0.6696)
Tm (0.8348, 0.0822, 0.6695)
Nd (0.6667, 0.6666, 0.3332)
Nd (0.0000, 0.5000, 0.0000)
Tm (0.5000, 0.2460, 0.0000)
Tm (0.5000, 0.7540, 0.0000)
Nd (0.3333, 0.3334, 0.6668)
Tm (0.1652, 0.4126, 0.3304)
Sc (0.0000, 0.0000, 0.0000)

---

Nd12Tm7Sc | GGA-PBE | optimized geometry

Results
- symmetry = R-3, No. 148

Cell lengths 9.3638, 9.3638, 9.3638 Å; angles 107.86, 107.86, 107.86 degrees
Positions (direct):
Sc (0.0000, 0.0000, 0.0000)
Tm (0.0054, 0.8994, 0.3140)
Nd (0.7826, 0.3231, 0.6184)
Nd (0.7047, 0.5956, 0.9425)
Tm (0.6860, 0.9946, 0.1006)
Nd (0.2174, 0.6769, 0.3816)
Tm (0.5000, 0.5000, 0.5000)
Nd (0.6769, 0.3816, 0.2174)
Nd (0.2953, 0.4044, 0.0575)
Nd (0.6184, 0.7826, 0.3231)
Nd (0.9425, 0.7047, 0.5956)
Nd (0.4044, 0.0575, 0.2953)
Tm (0.8994, 0.3140, 0.0054)
Tm (0.1006, 0.6860, 0.9946)
Tm (0.3140, 0.0054, 0.8994)
Nd (0.5956, 0.9425, 0.7047)
Nd (0.3231, 0.6184, 0.7826)
Tm (0.9946, 0.1006, 0.6860)
Nd (0.3816, 0.2174, 0.6769)
Nd (0.0575, 0.2953, 0.4044)

---

NdTm2Sc | GGA-PBE | optimized geometry

Results
- symmetry = P4/mmm, No. 123

Cell lengths 4.9797, 4.8920, 4.8920 Å; angles 90.00, 90.00, 90.00 degrees
Positions (direct):
Sc (0.5000, 0.0000, 0.0000)
Tm (0.0000, 0.0000, 0.5000)
Tm (0.0000, 0.5000, 0.0000)
Nd (0.5000, 0.5000, 0.5000)

---

Nd10Tm4Sc | GGA-PBE | optimized geometry

Results
- symmetry = I4/m, No. 87

Cell lengths 10.4856, 8.7123, 8.7123 Å; angles 68.77, 53.00, 53.00 degrees
Positions (direct):
Tm (0.0586, 0.6175, 0.2653)
Nd (0.1274, 0.0991, 0.3267)
Nd (0.4468, 0.0991, 0.3267)
Nd (0.5532, 0.9009, 0.6733)
Nd (0.5459, 0.3267, 0.9009)
Sc (0.0000, 0.0000, 0.0000)
Tm (0.9414, 0.3825, 0.7347)
Nd (0.2265, 0.3267, 0.9009)
Tm (0.3239, 0.7347, 0.6175)
Nd (0.2500, 0.5000, 0.5000)
Nd (0.8726, 0.9009, 0.6733)
Nd (0.7735, 0.6733, 0.0991)
Nd (0.4541, 0.6733, 0.0991)
Tm (0.6761, 0.2653, 0.3825)
Nd (0.7500, 0.5000, 0.5000)

---

NdTmSc4 | GGA-PBE | optimized geometry

Results
- symmetry = Pmmn, No. 59

Cell lengths 5.3338, 11.5700, 5.9504 Å; angles 90.00, 90.00, 117.46 degrees
Positions (direct):
Sc (0.6700, 0.9199, 0.0881)
Tm (0.5000, 0.7500, 0.5764)
Nd (0.0000, 0.7500, 0.9240)
Tm (0.5000, 0.2500, 0.4236)
Sc (0.1710, 0.4209, 0.5867)
Sc (0.8290, 0.0791, 0.5867)
Sc (0.8290, 0.5791, 0.4133)
Sc (0.3300, 0.5801, 0.0881)
Sc (0.3300, 0.0801, 0.9119)
Nd (0.0000, 0.2500, 0.0760)
Sc (0.1710, 0.9209, 0.4133)
Sc (0.6700, 0.4199, 0.9119)

---

Nd15Tm4Sc | GGA-PBE | optimized geometry

Results
- symmetry = P4/mmm, No. 123

Cell lengths 5.1274, 5.1274, 25.5286 Å; angles 90.00, 90.00, 90.00 degrees
Positions (direct):
Nd (0.5000, 0.5000, 0.6006)
Tm (0.0000, 0.0000, 0.6006)
Nd (0.5000, 0.0000, 0.7011)
Nd (0.5000, 0.5000, 0.3994)
Nd (0.5000, 0.5000, 0.1983)
Tm (0.0000, 0.0000, 0.8017)
Nd (0.5000, 0.0000, 0.9023)
Nd (0.5000, 0.0000, 0.0977)
Tm (0.0000, 0.0000, 0.1983)
Sc (0.0000, 0.0000, 0.0000)
Nd (0.5000, 0.0000, 0.2989)
Nd (0.5000, 0.5000, 0.8017)
Tm (0.0000, 0.0000, 0.3994)
Nd (0.5000, 0.5000, 0.0000)
Nd (0.0000, 0.5000, 0.5000)
Nd (0.5000, 0.0000, 0.5000)
Nd (0.0000, 0.5000, 0.2989)
Nd (0.0000, 0.5000, 0.9023)
Nd (0.0000, 0.5000, 0.0977)
Nd (0.0000, 0.5000, 0.7011)

---

Nd6Tm4Sc | GGA-PBE | optimized geometry

Results
- symmetry = Cmcm, No. 63

Cell lengths 5.7587, 5.6199, 25.8243 Å; angles 90.00, 90.00, 120.82 degrees
Positions (direct):
Nd (0.8093, 0.6186, 0.1027)
Tm (0.5304, 0.0609, 0.8763)
Tm (0.8448, 0.6896, 0.5448)
Nd (0.1907, 0.3814, 0.6027)
Nd (0.5000, 0.0000, 0.0000)
Sc (0.8024, 0.6049, 0.2500)
Nd (0.4664, 0.9329, 0.2500)
Tm (0.1552, 0.3104, 0.0448)
Nd (0.8637, 0.7274, 0.6828)
Nd (0.5336, 0.0671, 0.7500)
Nd (0.1907, 0.3814, 0.8973)
Nd (0.5000, 0.0000, 0.5000)
Tm (0.4696, 0.9391, 0.3763)
Sc (0.1976, 0.3951, 0.7500)
Tm (0.5304, 0.0609, 0.6237)
Nd (0.8637, 0.7274, 0.8172)
Nd (0.1363, 0.2726, 0.1828)
Nd (0.1363, 0.2726, 0.3172)
Tm (0.1552, 0.3104, 0.4552)
Tm (0.4696, 0.9391, 0.1237)
Tm (0.8448, 0.6896, 0.9552)
Nd (0.8093, 0.6186, 0.3973)

---

Nd2TmSc | GGA-PBE | optimized geometry

Results
- symmetry = R-3m, No. 166

Cell lengths 3.5461, 3.5461, 11.5030 Å; angles 81.13, 81.13, 60.00 degrees
Positions (direct):
Sc (0.0000, 0.0000, 0.0000)
Nd (0.2526, 0.2526, 0.2422)
Tm (0.5000, 0.5000, 0.5000)
Nd (0.7474, 0.7474, 0.7578)

---

Nd2Tm7Sc2 | GGA-PBE | optimized geometry

Results
- symmetry = Imm2, No. 44

Cell lengths 3.5177, 10.4073, 10.4073 Å; angles 66.72, 80.27, 80.27 degrees
Positions (direct):
Sc (0.0000, 0.7613, 0.2387)
Tm (0.6102, 0.4769, 0.3028)
Sc (0.5000, 0.3179, 0.6821)
Tm (0.8340, 0.0122, 0.3198)
Tm (0.1660, 0.6802, 0.9878)
Nd (0.7087, 0.8916, 0.6910)
Tm (0.1638, 0.1861, 0.4863)
Nd (0.2913, 0.3090, 0.1084)
Tm (0.3898, 0.6972, 0.5231)
Tm (0.5000, 0.0079, 0.9921)
Tm (0.8362, 0.5137, 0.8139)

---

Nd2Tm2Sc3 | GGA-PBE | optimized geometry

Results
- symmetry = I2_13, No. 199

Cell lengths 8.1191, 8.1191, 8.1191 Å; angles 109.47, 109.47, 109.47 degrees
Positions (direct):
Sc (0.7500, 0.5469, 0.2969)
Sc (0.7969, 0.2500, 0.5469)
Sc (0.4531, 0.2031, 0.7500)
Tm (0.5800, 0.0800, 0.0800)
Nd (0.1766, 0.6766, 0.6766)
Nd (0.0000, 0.0000, 0.8234)
Nd (0.5000, 0.8234, 0.5000)
Nd (0.3234, 0.5000, 0.0000)
Sc (0.7031, 0.7500, 0.9531)
Tm (0.0000, 0.0000, 0.4200)
Sc (0.2500, 0.9531, 0.2031)
Tm (0.5000, 0.4200, 0.5000)
Sc (0.0469, 0.2969, 0.2500)
Tm (0.9200, 0.5000, 0.0000)

---

NdTmSc6 | GGA-PBE | optimized geometry

Results
- symmetry = P4/mmm, No. 123

Cell lengths 4.7062, 6.6891, 6.6891 Å; angles 90.00, 90.00, 90.00 degrees
Positions (direct):
Sc (0.5000, 0.0000, 0.5000)
Nd (0.5000, 0.5000, 0.5000)
Sc (0.0000, 0.7522, 0.2478)
Tm (0.5000, 0.0000, 0.0000)
Sc (0.0000, 0.2478, 0.7522)
Sc (0.0000, 0.7520, 0.7520)
Sc (0.5000, 0.5000, 0.0000)
Sc (0.0000, 0.2480, 0.2480)

---

NdTm12Sc5 | GGA-PBE | optimized geometry

Results
- symmetry = C2/m, No. 12

Cell lengths 5.9868, 5.9880, 16.7732 Å; angles 93.41, 96.83, 60.01 degrees
Positions (direct):
Tm (0.6075, 0.0000, 0.8313)
Sc (0.8332, 0.3336, 0.5000)
Tm (0.2785, 0.6645, 0.8312)
Sc (0.6668, 0.6664, 0.0000)
Tm (0.3925, 0.0000, 0.1687)
Sc (0.3332, 0.3336, 0.0000)
Tm (0.4469, 0.6668, 0.3393)
Tm (0.7215, 0.3355, 0.1688)
Tm (0.9430, 0.3355, 0.8312)
Sc (0.1668, 0.6665, 0.5000)
Tm (0.0570, 0.6645, 0.1688)
Nd (0.0000, 0.0000, 0.0000)
Tm (0.5531, 0.3332, 0.6607)
Tm (0.7804, 0.0000, 0.3393)
Tm (0.2196, 0.0000, 0.6607)
Tm (0.1137, 0.3332, 0.3393)
Tm (0.8863, 0.6668, 0.6607)
Sc (0.5000, 0.0000, 0.5000)

---

Nd3Tm2Sc4 | GGA-PBE | optimized geometry

Results
- symmetry = C2/c, No. 15

Cell lengths 5.8829, 10.8389, 10.8389 Å; angles 62.95, 63.12, 63.12 degrees
Positions (direct):
Tm (0.0613, 0.4988, 0.7312)
Sc (0.6018, 0.4036, 0.1377)
Sc (0.3982, 0.5964, 0.8623)
Sc (0.8982, 0.8623, 0.5964)
Sc (0.0634, 0.8263, 0.0627)
Nd (0.2344, 0.9603, 0.7118)
Tm (0.5613, 0.7312, 0.4988)
Nd (0.2500, 0.6494, 0.3506)
Nd (0.7656, 0.0397, 0.2882)
Tm (0.9387, 0.5012, 0.2688)
Nd (0.7344, 0.7118, 0.9603)
Nd (0.7500, 0.3506, 0.6494)
Sc (0.1018, 0.1377, 0.4036)
Sc (0.5634, 0.0627, 0.8263)
Nd (0.2656, 0.2882, 0.0397)
Sc (0.9366, 0.1737, 0.9373)
Sc (0.4366, 0.9373, 0.1737)
Tm (0.4387, 0.2688, 0.5012)

---

Nd2Tm5Sc2 | GGA-PBE | optimized geometry

Results
- symmetry = P-1, No. 2

Cell lengths 6.0279, 11.0008, 9.1990 Å; angles 146.69, 70.92, 123.28 degrees
Positions (direct):
Nd (0.3291, 0.6645, 0.6642)
Sc (0.2289, 0.4458, 0.1059)
Tm (0.8903, 0.7777, 0.4394)
Tm (0.1097, 0.2223, 0.5606)
Tm (0.5576, 0.1144, 0.7760)
Tm (0.4424, 0.8856, 0.2240)
Tm (0.0000, 0.0000, 0.0000)
Nd (0.6709, 0.3355, 0.3358)
Sc (0.7711, 0.5542, 0.8941)

---

Nd12Tm3Sc | GGA-PBE | optimized geometry

Results
- symmetry = P4/mmm, No. 123

Cell lengths 5.1180, 5.1180, 20.4316 Å; angles 90.00, 90.00, 90.00 degrees
Positions (direct):
Nd (0.0000, 0.5000, 0.1223)
Nd (0.5000, 0.0000, 0.6259)
Nd (0.5000, 0.0000, 0.3741)
Nd (0.5000, 0.5000, 0.5000)
Nd (0.5000, 0.5000, 0.0000)
Nd (0.5000, 0.0000, 0.1223)
Nd (0.5000, 0.5000, 0.7517)
Nd (0.0000, 0.5000, 0.3741)
Tm (0.0000, 0.0000, 0.7517)
Nd (0.5000, 0.5000, 0.2483)
Nd (0.0000, 0.5000, 0.8777)
Nd (0.0000, 0.5000, 0.6259)
Tm (0.0000, 0.0000, 0.5000)
Sc (0.0000, 0.0000, 0.0000)
Tm (0.0000, 0.0000, 0.2483)
Nd (0.5000, 0.0000, 0.8777)

---

Nd3Tm8Sc3 | GGA-PBE | optimized geometry

Results
- symmetry = Immm, No. 71

Cell lengths 5.3991, 10.1704, 10.1704 Å; angles 55.82, 74.61, 74.61 degrees
Positions (direct):
Tm (0.7981, 0.8605, 0.5434)
Tm (0.3752, 0.8787, 0.3709)
Sc (0.5000, 0.5000, 0.5000)
Nd (0.5000, 0.0000, 0.0000)
Tm (0.2019, 0.1395, 0.4566)
Nd (0.0000, 0.7388, 0.2612)
Tm (0.7981, 0.5434, 0.8605)
Tm (0.6248, 0.6291, 0.1213)
Nd (0.0000, 0.2612, 0.7388)
Sc (0.1717, 0.8283, 0.8283)
Tm (0.6248, 0.1213, 0.6291)
Tm (0.2019, 0.4566, 0.1395)
Tm (0.3752, 0.3709, 0.8787)
Sc (0.8283, 0.1717, 0.1717)

---

Nd2TmSc | GGA-PBE | optimized geometry

Results
- symmetry = R3m, No. 160

Cell lengths 3.5503, 3.5503, 11.5768 Å; angles 81.18, 81.18, 60.00 degrees
Positions (direct):
Sc (0.4997, 0.4997, 0.5009)
Tm (0.6673, 0.6673, 0.9980)
Nd (0.2471, 0.2471, 0.2587)
Nd (0.0859, 0.0859, 0.7424)

---

Nd2TmSc2 | GGA-PBE | optimized geometry

Results
- symmetry = C2/m, No. 12

Cell lengths 6.0112, 7.7860, 9.2112 Å; angles 147.70, 140.01, 49.63 degrees
Positions (direct):
Sc (0.3963, 0.6034, 0.1982)
Nd (0.1869, 0.7977, 0.5934)
Nd (0.8131, 0.2023, 0.4066)
Tm (0.0000, 0.0000, 0.0000)
Sc (0.6037, 0.3966, 0.8018)

---

Nd3Tm5Sc | GGA-PBE | optimized geometry

Results
- symmetry = I4/mcm, No. 140

Cell lengths 8.6219, 8.6219, 9.7467 Å; angles 116.25, 116.25, 90.00 degrees
Positions (direct):
Sc (0.2500, 0.7500, 0.5000)
Tm (0.1534, 0.0661, 0.7196)
Tm (0.0000, 0.0000, 0.0000)
Tm (0.5000, 0.5000, 0.0000)
Nd (0.7500, 0.7500, 0.5000)
Nd (0.3814, 0.8814, 0.0000)
Sc (0.7500, 0.2500, 0.5000)
Tm (0.0661, 0.5661, 0.7196)
Tm (0.9339, 0.4339, 0.2804)
Tm (0.6534, 0.1534, 0.7196)
Nd (0.1186, 0.3814, 0.0000)
Nd (0.6186, 0.1186, 0.0000)
Tm (0.4339, 0.3466, 0.2804)
Tm (0.3466, 0.8466, 0.2804)
Nd (0.2500, 0.2500, 0.5000)
Nd (0.8814, 0.6186, 0.0000)
Tm (0.8466, 0.9339, 0.2804)
Tm (0.5661, 0.6534, 0.7196)

---

| no. | E (eV/atom) | formation energy (kJ/mol of formula units) |
| --- | --- | --- |
| 1 | -4.96 | 19.0 |
| 2 | -4.72 | 39.4 |
| 3 | -4.59 | 295.4 |
| 4 | -4.96 | 18.0 |
| 5 | -4.46 | 488.3 |
| 6 | -5.73 | 19.6 |
| 7 | -4.77 | 28.1 |
| 8 | -4.68 | 128.7 |
| 9 | -5.04 | 17.9 |
| 10 | -4.69 | 189.4 |
| 11 | -5.13 | 149.9 |
| 12 | -5.84 | 47.9 |
| 13 | -4.97 | 60.9 |
| 14 | -5.27 | 106.7 |
| 15 | -4.91 | 37.7 |
| 16 | -4.79 | 30.1 |
| 17 | -4.54 | 525.6 |
| 18 | -5.03 | 22.4 |
| 19 | -5.28 | 27.5 |
| 20 | -4.51 | 234.3 |